(1)
Computed, not measured: TlAgMoIr2 at its PBEsol-relaxed geometry at the SCAN level of DFT.

* SG: P4/mmm
* formation energy: 1.405 eV/atom

abc: 4.6535 4.6535 5.2153
angles: 90.00 90.00 90.00
With the nearest neighbours (Å) after each atom.
Fractional positions:
Tl 0.0000 0.0000 0.0000  2 Mo 2.61
Ag 0.5000 0.5000 0.0000  4 Tl 3.29, 8 Ir 3.49
Mo 0.0000 0.0000 0.5000  4 Ir 2.33
Ir 0.0000 0.5000 0.5000  2 Mo 2.33
Ir 0.5000 0.0000 0.5000  2 Mo 2.33



(2)
Computed, not measured: AgIrNO2 at its PBEsol-relaxed geometry at the SCAN level of DFT.

* SG: P4/mmm
* energy relative to the elements, uncorrected: 1788.1 meV/atom

abc: 3.8815 3.8815 3.9869
angles: 90.00 90.00 90.00
With the nearest neighbours (Å) after each atom.
Fractional positions:
Ag 0.0000 0.0000 0.0000  4 O 1.94, 2 N 1.99
Ir 0.5000 0.5000 0.5000  4 N 2.74, 8 O 2.78
N 0.0000 0.0000 0.5000  2 Ag 1.99
O 0.0000 0.5000 0.0000  2 Ag 1.94
O 0.5000 0.0000 0.0000  2 Ag 1.94



(3)
Computed, not measured: NaAgIr3 at its PBEsol-relaxed geometry at the SCAN level of DFT.

* SG: Pm-3m
* formation energy: 2.278 eV/atom

abc: 4.8054 4.8054 4.8054
angles: 90.00 90.00 90.00
With the nearest neighbours (Å) after each atom.
Fractional positions:
Na 0.0000 0.0000 0.0000  12 Ir 3.40
Ag 0.5000 0.5000 0.5000  6 Ir 2.40
Ir 0.0000 0.5000 0.5000  2 Ag 2.40
Ir 0.5000 0.0000 0.5000  2 Ag 2.40
Ir 0.5000 0.5000 0.0000  2 Ag 2.40



(4)
Computed, not measured: NbTcAgIr2 at its PBEsol-relaxed geometry at the SCAN level of DFT.

* SG: P4/mmm
* formation energy: 2.413 eV/atom

abc: 4.6554 4.6554 4.6440
angles: 90.00 90.00 90.00
With the nearest neighbours (Å) after each atom.
Fractional positions:
Nb 0.0000 0.0000 0.0000  2 Ag 2.32
Tc 0.5000 0.5000 0.0000  8 Ir 3.29, 4 Nb 3.29
Ag 0.0000 0.0000 0.5000  2 Nb 2.32, 4 Ir 2.33
Ir 0.0000 0.5000 0.5000  2 Ag 2.33
Ir 0.5000 0.0000 0.5000  2 Ag 2.33



(5)
Computed, not measured: Ni3AgIr at its PBEsol-relaxed geometry at the SCAN level of DFT.

* SG: Pm-3m
* formation energy: 1.232 eV/atom

abc: 4.4626 4.4626 4.4626
angles: 90.00 90.00 90.00
With the nearest neighbours (Å) after each atom.
Fractional positions:
Ni 0.0000 0.0000 0.5000  2 Ir 2.23
Ni 0.0000 0.5000 0.0000  2 Ir 2.23
Ni 0.5000 0.0000 0.0000  2 Ir 2.23
Ag 0.5000 0.5000 0.5000  12 Ni 3.16
Ir 0.0000 0.0000 0.0000  6 Ni 2.23



(6)
Computed, not measured: NiAgIr2 at its PBEsol-relaxed geometry at the SCAN level of DFT.

* energy relative to the lowest polymorph listed for this composition: 0 meV/atom
* SG: Cm
* formation energy: 0.288 eV/atom

abc: 4.6358 4.6358 4.6869
angles: 100.19 100.19 34.08
With the nearest neighbours (Å) after each atom.
Fractional positions:
Ni 0.0000 0.0000 0.0000  3 Ag 2.59-2.66, 7 Ir 2.60-2.84, 2 Ni 2.72
Ag 0.7531 0.7531 0.2211  3 Ni 2.59-2.66, 7 Ir 2.70-2.84, 2 Ag 2.72
Ir 0.2601 0.2601 0.7248  5 Ir 2.57-2.72, 3 Ni 2.65-2.84, 4 Ag 2.70-2.71
Ir 0.5138 0.5138 0.5333  5 Ir 2.57-2.72, 4 Ni 2.60-2.83, 3 Ag 2.79-2.84



N(E_F): 0.727, 0.496, 1.306, 1.139, 0.864, 1.007 (states/eV per atom)
Final energy: -273.79, -115.28, -237.49, -229.69, -144.82, -188.59 (eV per cell)